An optimized crystal structure of Na2UWO8, computed with PBE+U.

Magnetization = 0.00 μB per cell
DFT total energy = -7.1374 eV per atom

The structure in CIF format:
```
data_Na2UWO8
_chemical_formula_sum 'Na2 U1 W1 O8'
_cell_length_a 4.804
_cell_length_b 6.632
_cell_length_c 5.156
_cell_angle_alpha 90.00
_cell_angle_beta 90.74
_cell_angle_gamma 90.00
_space_group_name_H-M_alt 'P 1 2/m 1'
_space_group_IT_number 10
_space_group_name_Hall '-P 2y'
loop_
_atom_site_label
_atom_site_type_symbol
_atom_site_fract_x
_atom_site_fract_y
_atom_site_fract_z
_atom_site_occupancy
Na1 Na 0.000 0.244 0.000 1
U1 U 0.500 0.500 0.500 1
W1 W 0.500 0.000 0.500 1
O1 O 0.093 0.000 0.616 1
O2 O 0.185 0.500 0.709 1
O3 O 0.399 0.216 0.268 1
```